(1)
A plane-wave DFT calculation with PBE was carried out for a relaxed CeNd7Sm4 crystal.

```
CeNd7Sm4
1.0
-3.2339 3.6188 3.7237
-8.0493 -1.4766 4.4926
2.4982 -6.0490 7.8862
Ce Nd Sm
1 7 4
Direct
0.0000 0.0000 0.0000 Ce
0.7102 0.5376 0.9236 Nd
0.2898 0.4624 0.0764 Nd
0.0584 0.1856 0.6289 Nd
0.9416 0.8144 0.3711 Nd
0.5481 0.7140 0.5720 Nd
0.5000 0.0000 0.0000 Nd
0.4519 0.2860 0.4280 Nd
0.6464 0.5972 0.2692 Sm
0.3536 0.4028 0.7308 Sm
0.8917 0.8662 0.7306 Sm
0.1083 0.1338 0.2694 Sm
```

Calculated values
calculated volume = 34.6 A^3/atom
total magnetic moment = 0.10 μB per atom
energy of formation = 0.14 eV/atom
SG = C2/m

=====

(2)
A plane-wave DFT calculation with PBE was carried out for a relaxed ThPa2Bi crystal.

```
ThPa2Bi
1.0
4.9420 0.0000 0.0000
0.0000 4.6926 0.0000
0.0000 0.0000 4.6926
Pa Bi Th
2 1 1
Direct
0.0000 0.0000 0.5000 Pa
0.0000 0.5000 0.0000 Pa
0.5000 0.5000 0.5000 Bi
0.5000 0.0000 0.0000 Th
```

Calculated values
calculated volume = 27.2 A^3/atom
total magnetic moment = 0.00 μB per atom
energy of formation = -0.07 eV/atom
SG = P4/mmm

=====

(3)
A plane-wave DFT calculation with PBE was carried out for a relaxed CeLuPa crystal.

```
CeLuPa
1.0
3.2663 0.0000 0.0000
0.0000 3.2663 0.0000
-1.6331 -1.6331 7.6121
Pa Lu Ce
1 1 1
Direct
0.3319 0.3319 0.6638 Pa
0.9919 0.9919 0.9839 Lu
0.6762 0.6762 0.3524 Ce
```

Calculated values
calculated volume = 27.1 A^3/atom
total magnetic moment = 0.00 μB per atom
energy of formation = 0.11 eV/atom
SG = I4mm

=====

(4)
A plane-wave DFT calculation with PBE was carried out for a relaxed NaPt crystal.

```
NaPt
1.0
5.5088 0.0000 0.0000
0.0000 5.5088 0.0000
0.0000 0.0000 2.5846
Na Pt
2 2
Direct
0.2500 0.7500 0.0000 Na
0.7500 0.2500 0.0000 Na
0.2500 0.2500 0.4990 Pt
0.7500 0.7500 0.5010 Pt
```

Calculated values
calculated volume = 19.6 A^3/atom
total magnetic moment = 0.00 μB per atom
energy of formation = 0.09 eV/atom
SG = P4/mmm

=====

(5)
A plane-wave DFT calculation with PBE was carried out for a relaxed Na5Pt4 crystal.

```
Na5Pt4
1.0
-4.6469 4.6469 2.0670
4.6469 -4.6469 2.0670
4.6469 4.6469 -2.0670
Na Pt
5 4
Direct
0.0000 0.0000 0.0000 Na
0.3218 0.3218 0.6437 Na
0.3218 0.6782 0.0000 Na
0.6782 0.3218 0.0000 Na
0.6782 0.6782 0.3563 Na
0.0000 0.3562 0.3562 Pt
0.0000 0.6438 0.6438 Pt
0.3562 0.0000 0.3562 Pt
0.6438 0.0000 0.6438 Pt
```

Calculated values
calculated volume = 19.8 A^3/atom
total magnetic moment = 0.00 μB per atom
energy of formation = 0.00 eV/atom
SG = I4/mmm

=====

(6)
A plane-wave DFT calculation with PBE was carried out for a relaxed LiBeIn2 crystal.

```
LiBeIn2
1.0
4.8020 0.0000 0.0000
2.4010 4.1586 0.0000
2.4010 1.3862 3.9208
Be In Li
1 2 1
Direct
0.5000 0.5000 0.5000 Be
0.0000 0.0000 0.0000 In
0.2500 0.2500 0.2500 In
0.7500 0.7500 0.7500 Li
```

Calculated values
calculated volume = 19.6 A^3/atom
total magnetic moment = 0.00 μB per atom
energy of formation = 0.30 eV/atom
SG = F-43m

=====

(7)
A plane-wave DFT calculation with PBE was carried out for a relaxed BeFe2Ru crystal.

```
BeFe2Ru
1.0
3.3201 0.0000 0.0000
0.0000 3.3201 0.0000
1.6601 1.6601 8.5474
Ru Fe Be
2 4 2
Direct
0.0000 0.0000 0.0000 Ru
0.7500 0.2500 0.5000 Ru
0.6048 0.1250 0.2500 Fe
0.1452 0.6250 0.2500 Fe
0.3750 0.3952 0.7500 Fe
0.8750 0.8548 0.7500 Fe
0.5000 0.5000 0.0000 Be
0.2500 0.7500 0.5000 Be
```

Calculated values
calculated volume = 11.8 A^3/atom
total magnetic moment = 0.91 μB per atom
energy of formation = 0.36 eV/atom
SG = I-42d

=====

(8)
A plane-wave DFT calculation with PBE was carried out for a relaxed BePtAu2 crystal.

```
BePtAu2
1.0
4.8590 -0.0230 0.0000
1.6573 4.5677 0.0000
-3.2582 -2.2724 2.7984
Be Au Pt
1 2 1
Direct
0.2500 0.7500 0.5000 Be
0.0000 0.0000 0.0000 Au
0.5000 0.5000 0.0000 Au
0.7500 0.2500 0.5000 Pt
```

Calculated values
calculated volume = 15.6 A^3/atom
total magnetic moment = 0.00 μB per atom
energy of formation = 0.02 eV/atom
SG = I4/mmm